Record 1
A plane-wave DFT calculation with PBE-GGA was carried out for an optimized crystal structure of U4PaSe5. Values from VASP.

Results
N(E_F) in states/eV per cell: 23.09
Formation energy without anion corrections in meV/atom: -1040
V in Å³ per cell: 236.1

Structure (Quantum ESPRESSO input):
```
&SYSTEM
  ibrav = 0, nat = 10, ntyp = 3
/
ATOMIC_SPECIES
Pa 231.04 Pa.upf
U 238.03 U.upf
Se 78.96 Se.upf
ATOMIC_POSITIONS crystal
Pa 0.0000 0.0000 0.0000
U 0.8004 0.8004 0.6008
U 0.1996 0.1996 0.3992
U 0.5998 0.5998 0.1996
U 0.4002 0.4002 0.8004
Se 0.6007 0.1007 0.2013
Se 0.0000 0.5000 0.0000
Se 0.2002 0.7002 0.4004
Se 0.3993 0.8993 0.7987
Se 0.7998 0.2998 0.5996
CELL_PARAMETERS angstrom
-0.0079 -1.9708 -3.4616
2.9493 -4.2885 2.4349
-10.3251 -1.4635 3.1485
```

***

Record 2
A plane-wave DFT calculation with PBE-GGA was carried out for an optimized crystal structure of UPaSe4. Values from VASP.

Results
Relative energy among the computed polymorphs in meV per atom: 84
N(E_F) in states/eV per cell: 11.55
Formation energy without anion corrections in meV/atom: -1144
V in Å³ per cell: 191.0

Structure (Quantum ESPRESSO input):
```
&SYSTEM
  ibrav = 0, nat = 6, ntyp = 3
/
ATOMIC_SPECIES
U 238.03 U.upf
Se 78.96 Se.upf
Pa 231.04 Pa.upf
ATOMIC_POSITIONS crystal
U 0.0000 0.5000 0.5000
Se 0.0000 0.1945 0.1946
Se 0.5000 0.3006 0.6994
Se 0.5000 0.6994 0.3006
Se 0.0000 0.8055 0.8054
Pa 0.5000 0.0000 0.0000
CELL_PARAMETERS angstrom
-0.6458 -1.7766 3.8541
-5.6119 -2.8243 -2.2420
3.4280 -5.3935 -1.9117
```

***

Record 3
A plane-wave DFT calculation with PBE-GGA was carried out for an optimized crystal structure of U2Pa3Se8. Values from VASP.

Results
Relative energy among the computed polymorphs in meV per atom: 0
N(E_F) in states/eV per cell: 25.78
Formation energy without anion corrections in meV/atom: -1192
V in Å³ per cell: 335.2

Structure (Quantum ESPRESSO input):
```
&SYSTEM
  ibrav = 0, nat = 13, ntyp = 3
/
ATOMIC_SPECIES
Pa 231.04 Pa.upf
U 238.03 U.upf
Se 78.96 Se.upf
ATOMIC_POSITIONS crystal
Pa 0.0000 0.2638 0.0000
Pa 0.5000 0.0000 0.0000
Pa 0.0000 0.7362 0.0000
U 0.5000 0.2632 0.5264
U 0.5000 0.7368 0.4736
Se 0.5000 0.1199 0.7556
Se 0.0000 0.6264 0.2530
Se 0.5000 0.3644 0.2443
Se 0.0000 0.1190 0.2381
Se 0.0000 0.8810 0.7619
Se 0.5000 0.6356 0.7557
Se 0.5000 0.8801 0.2444
Se 0.0000 0.3736 0.7470
CELL_PARAMETERS angstrom
-3.6251 -0.3796 -3.3555
-4.3328 -6.8177 5.4522
-1.4214 8.3387 0.5921
```

***

Record 4
A plane-wave DFT calculation with PBE-GGA was carried out for an optimized crystal structure of U4PaSe8. Values from VASP.

Results
N(E_F) in states/eV per cell: 20.56
Formation energy without anion corrections in meV/atom: -1002
V in Å³ per cell: 419.6

Structure (Quantum ESPRESSO input):
```
&SYSTEM
  ibrav = 0, nat = 13, ntyp = 3
/
ATOMIC_SPECIES
Se 78.96 Se.upf
Pa 231.04 Pa.upf
U 238.03 U.upf
ATOMIC_POSITIONS crystal
Se 0.6148 0.1557 0.6148
Se 0.1557 0.6148 0.6148
Se 0.1302 0.1302 0.1302
Se 0.6148 0.6148 0.1557
Se 0.6148 0.6148 0.6148
Se 0.1302 0.1302 0.6094
Se 0.1302 0.6094 0.1302
Se 0.6094 0.1302 0.1302
Pa 0.7500 0.7500 0.7500
U 0.3687 0.8938 0.3687
U 0.8938 0.3687 0.3687
U 0.3687 0.3687 0.8938
U 0.3687 0.3687 0.3687
CELL_PARAMETERS angstrom
8.4031 0.0000 0.0000
4.2015 7.2773 0.0000
4.2015 2.4258 6.8611
```

***

Record 5
A plane-wave DFT calculation with PBE-GGA was carried out for an optimized crystal structure of UPa2Se5. Values from VASP.

Results
N(E_F) in states/eV per cell: 55.59
Formation energy without anion corrections in meV/atom: -1272
V in Å³ per cell: 775.6

Structure (Quantum ESPRESSO input):
```
&SYSTEM
  ibrav = 0, nat = 32, ntyp = 3
/
ATOMIC_SPECIES
Se 78.96 Se.upf
U 238.03 U.upf
Pa 231.04 Pa.upf
ATOMIC_POSITIONS crystal
Se 0.3324 0.5482 0.6009
Se 0.6676 0.0482 0.3991
Se 0.1676 0.9518 0.1009
Se 0.7026 0.7500 0.7189
Se 0.8324 0.0482 0.8991
Se 0.3324 0.9518 0.6009
Se 0.4685 0.2500 0.0009
Se 0.6676 0.4518 0.3991
Se 0.2974 0.2500 0.2811
Se 0.8285 0.2500 0.1835
Se 0.1676 0.5482 0.1009
Se 0.9685 0.7500 0.4991
Se 0.2026 0.2500 0.7811
Se 0.5315 0.7500 0.9991
Se 0.6715 0.2500 0.6835
Se 0.3285 0.7500 0.3165
Se 0.8324 0.4518 0.8991
Se 0.0315 0.2500 0.5009
Se 0.7974 0.7500 0.2189
Se 0.1715 0.7500 0.8165
U 0.5828 0.7500 0.4957
U 0.0828 0.2500 0.0043
U 0.4172 0.2500 0.5043
U 0.9172 0.7500 0.9957
Pa 0.0221 0.4988 0.3203
Pa 0.4779 0.4988 0.8203
Pa 0.9779 0.5012 0.6797
Pa 0.5221 0.5012 0.1797
Pa 0.5221 0.9988 0.1797
Pa 0.4779 0.0012 0.8203
Pa 0.0221 0.0012 0.3203
Pa 0.9779 0.9988 0.6797
CELL_PARAMETERS angstrom
7.6978 0.0000 0.0000
0.0000 8.1685 0.0000
0.0000 0.0000 12.3354
```

***

Record 6
A plane-wave DFT calculation with PBE-GGA was carried out for an optimized crystal structure of U3Pa5Se8. Values from VASP.

Results
N(E_F) in states/eV per cell: 29.69
Formation energy without anion corrections in meV/atom: -1136
V in Å³ per cell: 379.3

Structure (Quantum ESPRESSO input):
```
&SYSTEM
  ibrav = 0, nat = 16, ntyp = 3
/
ATOMIC_SPECIES
U 238.03 U.upf
Se 78.96 Se.upf
Pa 231.04 Pa.upf
ATOMIC_POSITIONS crystal
U 0.0000 0.0000 0.5000
U 0.5000 0.0000 0.5000
U 0.0000 0.5000 0.5000
Se 0.7498 0.7498 0.2519
Se 0.7515 0.2502 0.7481
Se 0.7509 0.7509 0.7472
Se 0.2491 0.2491 0.2528
Se 0.2502 0.2502 0.7481
Se 0.2502 0.7515 0.7481
Se 0.7498 0.2485 0.2519
Se 0.2485 0.7498 0.2519
Pa 0.0000 0.5000 0.0000
Pa 0.5000 0.0000 0.0000
Pa 0.5000 0.5000 0.5000
Pa 0.5000 0.5000 0.0000
Pa 0.0000 0.0000 0.0000
CELL_PARAMETERS angstrom
-0.0610 -0.8952 7.7836
6.6103 -1.8370 3.7841
3.6471 6.0243 4.6650
```

***

Record 7
A plane-wave DFT calculation with PBE-GGA was carried out for an optimized crystal structure of U3PaSe4. Values from VASP.

Results
N(E_F) in states/eV per cell: 16.85
Formation energy without anion corrections in meV/atom: -1055
V in Å³ per cell: 189.0

Structure (Quantum ESPRESSO input):
```
&SYSTEM
  ibrav = 0, nat = 8, ntyp = 3
/
ATOMIC_SPECIES
U 238.03 U.upf
Se 78.96 Se.upf
Pa 231.04 Pa.upf
ATOMIC_POSITIONS crystal
U 0.5000 0.0001 0.5000
U 0.0000 0.5001 0.5000
U 0.0000 0.0001 0.0000
Se 0.5008 0.2490 0.7489
Se 0.0000 0.7523 0.7478
Se 0.4991 0.7512 0.2510
Se 0.0000 0.2480 0.2521
Pa 0.5000 0.5001 0.0000
CELL_PARAMETERS angstrom
4.1833 0.0712 0.2261
0.3229 6.6545 2.0527
0.1630 0.4847 6.9526
```

***

Record 8
A plane-wave DFT calculation with PBE-GGA was carried out for an optimized crystal structure of UPa2Se4. Values from VASP.

Results
Relative energy among the computed polymorphs in meV per atom: 101
N(E_F) in states/eV per cell: 32.68
Formation energy without anion corrections in meV/atom: -1128
V in Å³ per cell: 361.5

Structure (Quantum ESPRESSO input):
```
&SYSTEM
  ibrav = 0, nat = 14, ntyp = 3
/
ATOMIC_SPECIES
Se 78.96 Se.upf
U 238.03 U.upf
Pa 231.04 Pa.upf
ATOMIC_POSITIONS crystal
Se 0.9448 0.8895 0.7500
Se 0.7825 0.5649 0.1346
Se 0.5000 0.0000 0.5000
Se 0.5000 0.0000 0.0000
Se 0.2175 0.4351 0.6346
Se 0.2175 0.4351 0.8654
Se 0.7825 0.5649 0.3654
Se 0.0552 0.1105 0.2500
U 0.3922 0.7844 0.2500
U 0.6078 0.2156 0.7500
Pa 0.8557 0.7115 0.9389
Pa 0.1443 0.2885 0.0611
Pa 0.1443 0.2885 0.4389
Pa 0.8557 0.7115 0.5611
CELL_PARAMETERS angstrom
-2.3610 -1.9102 2.4401
-2.0117 -1.6912 -6.3805
8.8681 -10.8569 0.0817
```

***

Repeat the fourth record exactly.
A plane-wave DFT calculation with PBE-GGA was carried out for an optimized crystal structure of U4PaSe8. Values from VASP.

Results
N(E_F) in states/eV per cell: 20.56
Formation energy without anion corrections in meV/atom: -1002
V in Å³ per cell: 419.6

Structure (Quantum ESPRESSO input):
```
&SYSTEM
  ibrav = 0, nat = 13, ntyp = 3
/
ATOMIC_SPECIES
Se 78.96 Se.upf
Pa 231.04 Pa.upf
U 238.03 U.upf
ATOMIC_POSITIONS crystal
Se 0.6148 0.1557 0.6148
Se 0.1557 0.6148 0.6148
Se 0.1302 0.1302 0.1302
Se 0.6148 0.6148 0.1557
Se 0.6148 0.6148 0.6148
Se 0.1302 0.1302 0.6094
Se 0.1302 0.6094 0.1302
Se 0.6094 0.1302 0.1302
Pa 0.7500 0.7500 0.7500
U 0.3687 0.8938 0.3687
U 0.8938 0.3687 0.3687
U 0.3687 0.3687 0.8938
U 0.3687 0.3687 0.3687
CELL_PARAMETERS angstrom
8.4031 0.0000 0.0000
4.2015 7.2773 0.0000
4.2015 2.4258 6.8611
```